# PrPuAl2

PrPuAl2 after structural relaxation (GGA-PBE, the Alexandria database).

Cell lengths 3.2637, 3.2637, 9.0144 Å; angles 90.00, 90.00, 90.00 degrees
Last column: nearest neighbours and their distance in Å.
Fractional coordinates of all 4 atoms:
Al (0.0000, 0.0000, 0.2401)  4 Pu 3.16, 4 Al 3.26, 4 Pr 3.29
Al (0.0000, 0.0000, 0.7599)  4 Pu 3.16, 4 Al 3.26, 4 Pr 3.29
Pr (0.5000, 0.5000, 0.5000)  4 Pr 3.26, 8 Al 3.29
Pu (0.5000, 0.5000, 0.0000)  8 Al 3.16, 4 Pu 3.26

Output
Total energy   -6.84 eV/atom
Calculated formation energy   -0.194 eV per atom
D(E_F)   7.4 states/eV/f.u.
SG   P4/mmm
Excess energy over the best structure of this formula in the dataset   0 meV per atom